Record 1
Here is a relaxed SrTa3Tl crystal from the Alexandria database. Energies are from PBE-GGA.

Cell: 4.9524 4.9524 4.9524 Å, 90.00 90.00 90.00°
With the nearest neighbours (Å) after each atom.
Atoms (fractional coordinates):
Sr (0.0000, 0.0000, 0.0000)  6 Ta 2.48
Tl (0.5000, 0.5000, 0.5000)  12 Ta 3.50
Ta (0.0000, 0.5000, 0.0000)  2 Sr 2.48
Ta (0.0000, 0.0000, 0.5000)  2 Sr 2.48
Ta (0.5000, 0.0000, 0.0000)  2 Sr 2.48

Computed properties:
Volume, Å³/cell: 121.5
Total energy, eV/atom: -5.11
E above lowest polymorph, eV/atom: 0.755
Formation enthalpy at 0 K, eV per atom: 2.815

Record 2
Here is a relaxed SrTaTl2 crystal from the Alexandria database. Energies are from PBE-GGA.

Cell: 3.3541 4.1772 8.1517 Å, 90.00 90.00 90.00°
With the nearest neighbours (Å) after each atom.
Atoms (fractional coordinates):
Sr (0.0000, 0.0000, 0.5246)  2 Sr 3.35, 5 Tl 3.51-3.72, 4 Ta 3.56
Ta (0.5000, 0.5000, 0.8122)  5 Tl 2.92-3.23
Tl (0.0000, 0.0000, 0.9553)  4 Ta 2.92
Tl (0.5000, 0.5000, 0.2080)  1 Ta 3.23, 6 Tl 3.35-3.38

Computed properties:
Volume, Å³/cell: 114.2
Total energy, eV/atom: -4.01
Formation enthalpy at 0 K, eV per atom: 0.554

Record 3
Here is a relaxed SrTaTl2 crystal from the Alexandria database. Energies are from PBE-GGA.

Cell: 5.1240 5.1240 6.8456 Å, 82.80 82.80 37.88°
With the nearest neighbours (Å) after each atom.
Atoms (fractional coordinates):
Sr (0.7500, 0.7500, 0.7500)  6 Tl 3.31-3.42, 2 Sr 3.33
Ta (0.2500, 0.2500, 0.2500)  6 Tl 3.00-3.07, 2 Ta 3.33
Tl (0.9937, 0.9937, 0.0467)  3 Ta 3.00-3.07, 4 Tl 3.26-3.33, 1 Sr 3.31
Tl (0.5063, 0.5063, 0.4533)  3 Ta 3.00-3.07, 4 Tl 3.26-3.33, 1 Sr 3.31

Computed properties:
Volume, Å³/cell: 109.4
Total energy, eV/atom: -4.15
Formation enthalpy at 0 K, eV per atom: 0.421

Record 4
Here is a relaxed SrTa2Tl crystal from the Alexandria database. Energies are from PBE-GGA.

Cell: 6.3226 6.3226 6.3226 Å, 149.99 126.99 62.12°
With the nearest neighbours (Å) after each atom.
Atoms (fractional coordinates):
Sr (0.7567, 0.2567, 0.5000)  6 Ta 3.27-3.48, 2 Sr 3.27, 4 Tl 3.49-3.66
Ta (0.0398, 0.0398, 0.0000)  2 Ta 2.64
Ta (0.2311, 0.7311, 0.5000)  2 Ta 2.64
Tl (0.4724, 0.4724, 0.0000)  6 Ta 3.08-3.34, 2 Tl 3.27

Computed properties:
Volume, Å³/cell: 100.1
Total energy, eV/atom: -6.19
E above lowest polymorph, eV/atom: 0.391
Formation enthalpy at 0 K, eV per atom: 0.751

Record 5
Here is a relaxed SrTaTl4 crystal from the Alexandria database. Energies are from PBE-GGA.

Cell: 6.2200 6.2200 6.2200 Å, 60.00 60.00 60.00°
With the nearest neighbours (Å) after each atom.
Atoms (fractional coordinates):
Sr (0.7500, 0.7500, 0.7500)  12 Tl 3.65, 4 Ta 3.81
Ta (0.0000, 0.0000, 0.0000)  12 Tl 3.65, 4 Sr 3.81
Tl (0.8770, 0.3743, 0.3743)  6 Tl 3.09-3.13
Tl (0.3743, 0.3743, 0.8770)  6 Tl 3.09-3.13
Tl (0.3743, 0.8770, 0.3743)  6 Tl 3.09-3.13
Tl (0.3743, 0.3743, 0.3743)  6 Tl 3.09-3.13

Computed properties:
Volume, Å³/cell: 170.2
Total energy, eV/atom: -3.27
Formation enthalpy at 0 K, eV per atom: 0.567

Record 6
Here is a relaxed SrTaTl2 crystal from the Alexandria database. Energies are from PBE-GGA.

Cell: 3.2856 3.2856 9.2520 Å, 90.00 90.00 89.99°
With the nearest neighbours (Å) after each atom.
Atoms (fractional coordinates):
Sr (0.5000, 0.5000, 0.2500)  4 Sr 3.29, 8 Tl 3.44
Ta (0.5000, 0.5000, 0.7500)  8 Tl 3.12, 4 Ta 3.29
Tl (0.0000, 0.0000, 0.9752)  4 Ta 3.12, 4 Tl 3.29, 4 Sr 3.44
Tl (0.0000, 0.0000, 0.5248)  4 Ta 3.12, 4 Tl 3.29, 4 Sr 3.44

Computed properties:
Volume, Å³/cell: 99.9
Total energy, eV/atom: -4.29
Formation enthalpy at 0 K, eV per atom: 0.279